[1]
DFT (PBE) results for a relaxed BeCu3O crystal.

abc: 3.944 3.944 3.944
angles: 90.00 90.00 90.00
Atoms (fractional coordinates):
Cu: 0.000 0.000 0.500
Cu: 0.500 0.000 0.000
O: 0.000 0.000 0.000
Be: 0.500 0.500 0.500
Cu: 0.000 0.500 0.000

Values from the calculation:
Excess energy over the best structure of this formula in the dataset in eV per atom: 0.000
Energy relative to the elements, uncorrected in eV/atom: 0.279
Calculated total energy in eV per cell: -19.58
Space-group type: No. 221


[2]
DFT (PBE) results for a relaxed BeCu2O crystal.

abc: 3.822 3.822 3.822
angles: 60.00 60.00 60.00
Atoms (fractional coordinates):
Be: 0.000 0.000 0.000
Cu: 0.250 0.250 0.250
Cu: 0.750 0.750 0.750
O: 0.500 0.500 0.500

Values from the calculation:
Energy relative to the elements, uncorrected in eV/atom: 0.104
Calculated total energy in eV per cell: -16.46
Space-group type: No. 225


[3]
DFT (PBE) results for a relaxed Be2CuO crystal.

abc: 4.957 4.957 4.734
angles: 58.42 58.42 90.00
Atoms (fractional coordinates):
Be: 0.234 0.625 0.250
O: 0.250 0.750 0.500
Be: 0.375 0.484 0.750
Cu: 0.750 0.250 0.500
O: 0.500 0.500 0.000
Be: 0.516 0.125 0.250
Cu: 0.000 0.000 0.000
Be: 0.875 0.766 0.750

Values from the calculation:
Energy relative to the elements, uncorrected in eV/atom: -0.819
Calculated total energy in eV per cell: -39.57
Space-group type: No. 122


[4]
DFT (PBE) results for a relaxed PaBeCuO6 crystal.

abc: 4.768 4.800 4.800
angles: 120.00 90.00 90.00
Atoms (fractional coordinates):
O: 0.720 0.322 0.023
Cu: 0.500 0.667 0.333
Pa: 0.000 0.333 0.667
Be: 0.500 0.000 0.000
O: 0.280 0.977 0.678
O: 0.720 0.977 0.299
O: 0.280 0.701 0.023
O: 0.280 0.322 0.299
O: 0.720 0.701 0.678

Values from the calculation:
Energy relative to the elements, uncorrected in eV/atom: -1.807
Calculated total energy in eV per cell: -63.33
Space-group type: No. 149